[1]
First-principles (GGA-PBE) data for a relaxed structure of Mn2BeTe, as listed in Alexandria.

```
data_Mn2BeTe
_chemical_formula_sum 'Mn2 Be1 Te1'
_symmetry_space_group_name_H-M 'P 1'
_symmetry_Int_Tables_number 1
_symmetry_space_group_name_Hall 'P 1'
_cell_length_a 4.514
_cell_length_b 4.514
_cell_length_c 4.307
_cell_angle_alpha 61.53
_cell_angle_beta 61.53
_cell_angle_gamma 45.11
loop_
_atom_site_label
_atom_site_type_symbol
_atom_site_fract_x
_atom_site_fract_y
_atom_site_fract_z
_atom_site_occupancy
Te1 Te 0.750 0.750 0.750 1
Mn1 Mn 0.533 0.533 0.467 1
Mn2 Mn 0.967 0.967 0.033 1
Be1 Be 0.250 0.250 0.250 1
```

Computed properties:
* total magnetization: 3.872 μB/f.u.
* space group: Immm


[2]
First-principles (GGA-PBE) data for a relaxed structure of MnAs2Pt, as listed in Alexandria.

```
data_MnAs2Pt
_chemical_formula_sum 'Mn1 As2 Pt1'
_symmetry_space_group_name_H-M 'P 1'
_symmetry_Int_Tables_number 1
_symmetry_space_group_name_Hall 'P 1'
_cell_length_a 4.580
_cell_length_b 4.580
_cell_length_c 4.580
_cell_angle_alpha 60.00
_cell_angle_beta 60.00
_cell_angle_gamma 60.00
loop_
_atom_site_label
_atom_site_type_symbol
_atom_site_fract_x
_atom_site_fract_y
_atom_site_fract_z
_atom_site_occupancy
Pt1 Pt 0.750 0.750 0.750 1
As1 As 0.250 0.250 0.250 1
As2 As 0.000 0.000 0.000 1
Mn1 Mn 0.500 0.500 0.500 1
```

Computed properties:
* energy of formation from the pure elements: 0.172 eV per atom
* total magnetization: 4.115 μB/f.u.
* space group: F-43m


DFT total energy across the listed records, respectively: -6.005 -5.955 eV per atom.